Density functional theory data (PBE) for a relaxed ZnAsSeN2 crystal.

The calculation puts the magnetization at 2.67 μB/cell. As for the space group: P4/mmm, No. 123. The value obtained for the total energy is -3.70 eV per atom. The calculation puts the uncorrected formation energy at 1.52 eV per atom.

Unit cell a=3.923 b=3.923 c=5.545 alpha=90.00 beta=90.00 gamma=90.00
Sites, in units of the cell vectors:
Zn 0.000 0.000 0.000
As 0.500 0.500 0.500
Se 0.000 0.000 0.500
N 0.000 0.500 0.000
N 0.500 0.000 0.000